1.
First-principles (SCAN) data for MgB2NCl at its PBEsol-relaxed geometry, as listed in Alexandria.

Cell: 4.5814 4.5814 4.7873 Å, 90.00 90.00 90.00°
Sites, in units of the cell vectors:
Mg (0.0000, 0.0000, 0.0000)
B (0.0000, 0.5000, 0.0000)
B (0.5000, 0.0000, 0.0000)
N (0.5000, 0.5000, 0.5000)
Cl (0.0000, 0.0000, 0.5000)

formation energy (no corrections)	2.20	eV per atom


2.
First-principles (SCAN) data for Mg3B7ClO13 at its PBEsol-relaxed geometry, as listed in Alexandria.

Cell: 8.5365 8.5365 8.5365 Å, 60.00 60.00 60.00°
Sites, in units of the cell vectors:
Mg (0.2500, 0.2500, 0.7500)
Mg (0.2500, 0.7500, 0.2500)
Mg (0.2500, 0.7500, 0.7500)
Mg (0.7500, 0.2500, 0.2500)
Mg (0.7500, 0.2500, 0.7500)
Mg (0.7500, 0.7500, 0.2500)
B (0.0000, 0.0000, 0.5000)
B (0.0000, 0.5000, 0.0000)
B (0.0000, 0.5000, 0.5000)
B (0.0096, 0.3301, 0.3301)
B (0.3301, 0.0096, 0.3301)
B (0.3301, 0.3301, 0.0096)
B (0.3301, 0.3301, 0.3301)
B (0.5000, 0.0000, 0.0000)
B (0.5000, 0.0000, 0.5000)
B (0.5000, 0.5000, 0.0000)
B (0.5096, 0.8301, 0.8301)
B (0.8301, 0.5096, 0.8301)
B (0.8301, 0.8301, 0.5096)
B (0.8301, 0.8301, 0.8301)
Cl (0.0000, 0.0000, 0.0000)
Cl (0.5000, 0.5000, 0.5000)
O (0.0091, 0.4516, 0.8523)
O (0.0091, 0.6870, 0.4516)
O (0.0091, 0.8523, 0.6870)
O (0.1870, 0.3523, 0.5091)
O (0.1870, 0.5091, 0.9516)
O (0.1870, 0.9516, 0.3523)
O (0.2500, 0.2500, 0.2500)
O (0.3523, 0.1870, 0.9516)
O (0.3523, 0.5091, 0.1870)
O (0.3523, 0.9516, 0.5091)
O (0.4516, 0.0091, 0.6870)
O (0.4516, 0.6870, 0.8523)
O (0.4516, 0.8523, 0.0091)
O (0.5091, 0.1870, 0.3523)
O (0.5091, 0.3523, 0.9516)
O (0.5091, 0.9516, 0.1870)
O (0.6870, 0.0091, 0.8523)
O (0.6870, 0.4516, 0.0091)
O (0.6870, 0.8523, 0.4516)
O (0.7500, 0.7500, 0.7500)
O (0.8523, 0.0091, 0.4516)
O (0.8523, 0.4516, 0.6870)
O (0.8523, 0.6870, 0.0091)
O (0.9516, 0.1870, 0.5091)
O (0.9516, 0.3523, 0.1870)
O (0.9516, 0.5091, 0.3523)

energy relative to the lowest polymorph listed for this composition	0.20	eV per formula unit
formation energy (no corrections)	-2.75	eV per atom


3.
First-principles (SCAN) data for Mg3B7ClO13 at its PBEsol-relaxed geometry, as listed in Alexandria.

Cell: 8.5655 8.5606 12.1208 Å, 90.00 90.00 90.00°
Sites, in units of the cell vectors:
Mg (0.0165, 0.0309, 0.0000)
Mg (0.0169, 0.4696, 0.0026)
Mg (0.2415, 0.2513, 0.2784)
Mg (0.2585, 0.2513, 0.7784)
Mg (0.4831, 0.4696, 0.5026)
Mg (0.4835, 0.0309, 0.5000)
Mg (0.5165, 0.9691, 0.0000)
Mg (0.5169, 0.5304, 0.0026)
Mg (0.7415, 0.7487, 0.2784)
Mg (0.7585, 0.7487, 0.7784)
Mg (0.9831, 0.5304, 0.5026)
Mg (0.9835, 0.9691, 0.5000)
B (0.0019, 0.0022, 0.7525)
B (0.0026, 0.4967, 0.7533)
B (0.0473, 0.7507, 0.1531)
B (0.0946, 0.7499, 0.6804)
B (0.2440, 0.7526, 0.0054)
B (0.2477, 0.5969, 0.8332)
B (0.2476, 0.9035, 0.8326)
B (0.2523, 0.5969, 0.3332)
B (0.2524, 0.9035, 0.3326)
B (0.2560, 0.7526, 0.5054)
B (0.4054, 0.7499, 0.1804)
B (0.4527, 0.7507, 0.6531)
B (0.4974, 0.4967, 0.2533)
B (0.4981, 0.0022, 0.2525)
B (0.5019, 0.9978, 0.7525)
B (0.5026, 0.5033, 0.7533)
B (0.5473, 0.2493, 0.1531)
B (0.5946, 0.2501, 0.6804)
B (0.7440, 0.2474, 0.0054)
B (0.7476, 0.0965, 0.8326)
B (0.7477, 0.4031, 0.8332)
B (0.7524, 0.0965, 0.3326)
B (0.7523, 0.4031, 0.3332)
B (0.7560, 0.2474, 0.5054)
B (0.9054, 0.2501, 0.1804)
B (0.9527, 0.2493, 0.6531)
B (0.9974, 0.5033, 0.2533)
B (0.9981, 0.9978, 0.2525)
Cl (0.2231, 0.2502, 0.9904)
Cl (0.2769, 0.2502, 0.4904)
Cl (0.7231, 0.7498, 0.9904)
Cl (0.7769, 0.7498, 0.4904)
O (0.0329, 0.1632, 0.2318)
O (0.0378, 0.9113, 0.1485)
O (0.0426, 0.3296, 0.7286)
O (0.0495, 0.5903, 0.6582)
O (0.0886, 0.9428, 0.3480)
O (0.0899, 0.5397, 0.8524)
O (0.1176, 0.6700, 0.0679)
O (0.1401, 0.8252, 0.5780)
O (0.1639, 0.4801, 0.2732)
O (0.1680, 0.0276, 0.7744)
O (0.1724, 0.8748, 0.9383)
O (0.1766, 0.6353, 0.4369)
O (0.2335, 0.7497, 0.7634)
O (0.2665, 0.7497, 0.2634)
O (0.3234, 0.6353, 0.9369)
O (0.3276, 0.8748, 0.4383)
O (0.3320, 0.0276, 0.2744)
O (0.3361, 0.4801, 0.7732)
O (0.3599, 0.8252, 0.0780)
O (0.3824, 0.6700, 0.5679)
O (0.4101, 0.5397, 0.3524)
O (0.4114, 0.9428, 0.8480)
O (0.4505, 0.5903, 0.1582)
O (0.4574, 0.3296, 0.2286)
O (0.4622, 0.9113, 0.6485)
O (0.4671, 0.1632, 0.7318)
O (0.5329, 0.8368, 0.2318)
O (0.5378, 0.0887, 0.1485)
O (0.5426, 0.6704, 0.7286)
O (0.5495, 0.4097, 0.6582)
O (0.5886, 0.0572, 0.3480)
O (0.5899, 0.4602, 0.8524)
O (0.6176, 0.3300, 0.0679)
O (0.6401, 0.1748, 0.5780)
O (0.6639, 0.5199, 0.2732)
O (0.6680, 0.9724, 0.7744)
O (0.6724, 0.1252, 0.9383)
O (0.6766, 0.3647, 0.4369)
O (0.7335, 0.2503, 0.7634)
O (0.7665, 0.2503, 0.2634)
O (0.8234, 0.3647, 0.9369)
O (0.8276, 0.1252, 0.4383)
O (0.8320, 0.9724, 0.2744)
O (0.8361, 0.5199, 0.7732)
O (0.8599, 0.1748, 0.0780)
O (0.8824, 0.3300, 0.5679)
O (0.9101, 0.4602, 0.3524)
O (0.9114, 0.0572, 0.8480)
O (0.9505, 0.4097, 0.1582)
O (0.9574, 0.6704, 0.2286)
O (0.9622, 0.0887, 0.6485)
O (0.9671, 0.8368, 0.7318)

energy relative to the lowest polymorph listed for this composition	0.00	eV per formula unit
formation energy (no corrections)	-2.76	eV per atom


4.
First-principles (SCAN) data for MgBP2Cl at its PBEsol-relaxed geometry, as listed in Alexandria.

Cell: 4.7885 4.7885 4.7292 Å, 90.00 90.00 90.00°
Sites, in units of the cell vectors:
Mg (0.0000, 0.0000, 0.0000)
B (0.5000, 0.5000, 0.5000)
P (0.0000, 0.5000, 0.0000)
P (0.5000, 0.0000, 0.0000)
Cl (0.0000, 0.0000, 0.5000)

formation energy (no corrections)	1.32	eV per atom


5.
First-principles (SCAN) data for YMgB2Cl at its PBEsol-relaxed geometry, as listed in Alexandria.

Cell: 4.4415 4.4415 4.7719 Å, 90.00 90.00 90.00°
Sites, in units of the cell vectors:
Y (0.0000, 0.0000, 0.0000)
Mg (0.5000, 0.5000, 0.0000)
B (0.0000, 0.5000, 0.5000)
B (0.5000, 0.0000, 0.5000)
Cl (0.0000, 0.0000, 0.5000)

formation energy (no corrections)	1.22	eV per atom


6.
First-principles (SCAN) data for MnBPCl2 at its PBEsol-relaxed geometry, as listed in Alexandria.

Cell: 4.5112 4.5112 4.6922 Å, 90.00 90.00 90.00°
Sites, in units of the cell vectors:
Mn (0.0000, 0.0000, 0.0000)
B (0.5000, 0.5000, 0.5000)
P (0.0000, 0.0000, 0.5000)
Cl (0.0000, 0.5000, 0.0000)
Cl (0.5000, 0.0000, 0.0000)

formation energy (no corrections)	0.67	eV per atom


7.
First-principles (SCAN) data for MnBS2Cl at its PBEsol-relaxed geometry, as listed in Alexandria.

Cell: 4.4542 4.4542 4.6652 Å, 90.00 90.00 90.00°
Sites, in units of the cell vectors:
Mn (0.0000, 0.0000, 0.0000)
B (0.5000, 0.5000, 0.5000)
S (0.0000, 0.5000, 0.0000)
S (0.5000, 0.0000, 0.0000)
Cl (0.0000, 0.0000, 0.5000)

formation energy (no corrections)	0.63	eV per atom


8.
First-principles (SCAN) data for MnTcBCl2 at its PBEsol-relaxed geometry, as listed in Alexandria.

Cell: 4.7834 4.7834 3.9741 Å, 90.00 90.00 90.00°
Sites, in units of the cell vectors:
Mn (0.0000, 0.0000, 0.0000)
Tc (0.5000, 0.5000, 0.5000)
B (0.5000, 0.5000, 0.0000)
Cl (0.0000, 0.5000, 0.5000)
Cl (0.5000, 0.0000, 0.5000)

formation energy (no corrections)	0.51	eV per atom